Entry 1:
This record from the Alexandria database describes a relaxed TbZr2Rh3 crystal. The functional is PBE-GGA.

The space group is P4/mmm (No. 123) and the conventional cell measures 3.3095, 3.3095 and 10.3504 Å, with angles of 90.00, 90.00 and 90.00 degrees. The distinct sites, in fractional coordinates, are Tb at (0.0000, 0.0000, 0.0000), Zr at (0.0000, 0.0000, 0.3372), Rh at (0.5000, 0.5000, 0.1906) and Rh at (0.5000, 0.5000, 0.5000).

As for the total magnetic moment: 0.0 Bohr magnetons per cell. The value obtained for the energy is -8.09 eV/atom. Its formation energy is -795 meV/atom.

=====

Entry 2:
This record from the Alexandria database describes a relaxed Tb2ZrRh crystal. The functional is PBE-GGA.

The space group is R-3m (No. 166, hexagonal axes) and the conventional cell measures 3.3734, 3.3734 and 30.9915 Å, with angles of 90.00, 90.00 and 120.00 degrees. The distinct sites, in fractional coordinates, are Tb at (0.0000, 0.0000, 0.1022), Zr at (0.0000, 0.0000, 0.0000) and Rh at (0.0000, 0.0000, 0.5000).

As for the total magnetic moment: 0.0 Bohr magnetons per cell. The value obtained for the energy is -6.25 eV/atom. The energy above the most stable polymorph in this dataset is 363.6 meV/atom. Its formation energy is 40 meV/atom.

=====

Entry 3:
This record from the Alexandria database describes a relaxed Tb2ZrRh4 crystal. The functional is PBE-GGA.

The space group is I4/mmm (No. 139) and the conventional cell measures 4.7430, 4.7430 and 12.4932 Å, with angles of 90.00, 90.00 and 90.00 degrees. The distinct sites, in fractional coordinates, are Tb at (0.0000, 0.0000, 0.2284), Zr at (0.0000, 0.0000, 0.5000) and Rh at (0.0000, 0.5000, 0.1156).

As for the total magnetic moment: 0.0 Bohr magnetons per cell. The value obtained for the energy is -7.26 eV/atom. Its formation energy is -514 meV/atom.

=====

Entry 4:
This record from the Alexandria database describes a relaxed TcRh5 crystal. The functional is PBE-GGA.

The space group is Cm (No. 8) and the conventional cell measures 9.8742, 2.7259 and 7.2017 Å, with angles of 90.00, 116.47 and 90.00 degrees. The distinct sites, in fractional coordinates, are Tc at (0.0000, 0.0000, 0.0000), Rh at (0.0032, 0.0000, 0.6293), Rh at (0.2132, 0.5000, 0.3199), Rh at (0.2135, 0.5000, 0.9486), Rh at (0.2834, 0.0000, 0.6782) and Rh at (0.4317, 0.0000, 0.2705).

As for the total magnetic moment: 0.0 Bohr magnetons per cell. The value obtained for the energy is -7.84 eV/atom. The energy above the most stable polymorph in this dataset is 76.5 meV/atom. Its formation energy is 14 meV/atom.

=====

Entry 5:
This record from the Alexandria database describes a relaxed Tc3Rh crystal. The functional is PBE-GGA.

The space group is Pm-3m (No. 221) and the conventional cell measures 3.8633, 3.8633 and 3.8633 Å, with angles of 90.00, 90.00 and 90.00 degrees. The distinct sites, in fractional coordinates, are Tc at (0.0000, 0.0000, 0.5000) and Rh at (0.5000, 0.5000, 0.5000).

As for the total magnetic moment: 0.0 Bohr magnetons per cell. The value obtained for the energy is -9.65 eV/atom. The energy above the most stable polymorph in this dataset is 115.7 meV/atom. Its formation energy is -39 meV/atom.

=====

Entry 6:
This record from the Alexandria database describes a relaxed Tc3Rh crystal. The functional is PBE-GGA.

The space group is Pmmn (No. 59, origin choice 2) and the conventional cell measures 5.5037, 13.2554 and 4.7418 Å, with angles of 90.00, 90.00 and 90.00 degrees. The distinct sites, in fractional coordinates, are Tc at (0.0027, 0.2500, 0.0024), Tc at (0.0037, 0.5864, 0.3331), Tc at (0.2500, 0.0859, 0.1664), Tc at (0.2500, 0.7500, 0.4914), Rh at (0.2500, 0.2500, 0.5056) and Rh at (0.2500, 0.5836, 0.8339).

As for the total magnetic moment: 0.0 Bohr magnetons per cell. The value obtained for the energy is -9.68 eV/atom. The energy above the most stable polymorph in this dataset is 85.4 meV/atom. Its formation energy is -69 meV/atom.

=====

Entry 7:
This record from the Alexandria database describes a relaxed TcRh3 crystal. The functional is PBE-GGA.

The space group is Fm-3m (No. 225) and the conventional cell measures 6.1562, 6.1562 and 6.1562 Å, with angles of 90.00, 90.00 and 90.00 degrees. The distinct sites, in fractional coordinates, are Tc at (0.0000, 0.0000, 0.0000), Rh at (0.0000, 0.0000, 0.5000) and Rh at (0.2500, 0.2500, 0.2500).

As for the total magnetic moment: 1.9 Bohr magnetons per cell. The value obtained for the energy is -7.80 eV/atom. Its formation energy is 309 meV/atom.

=====

Entry 8:
This record from the Alexandria database describes a relaxed TcRh3 crystal. The functional is PBE-GGA.

The space group is R-3m (No. 166, hexagonal axes) and the conventional cell measures 2.7320, 2.7320 and 26.5232 Å, with angles of 90.00, 90.00 and 120.00 degrees. The distinct sites, in fractional coordinates, are Tc at (0.0000, 0.0000, 0.0000), Rh at (0.0000, 0.0000, 0.2518) and Rh at (0.0000, 0.0000, 0.5000).

As for the total magnetic moment: 0.9 Bohr magnetons per cell. The value obtained for the energy is -8.12 eV/atom. Its formation energy is -15 meV/atom.

=====

Entry 9:
This record from the Alexandria database describes a relaxed Tc3Rh crystal. The functional is PBE-GGA.

The space group is C2/m (No. 12) and the conventional cell measures 9.1077, 2.7185 and 4.7453 Å, with angles of 90.00, 100.06 and 90.00 degrees. The distinct sites, in fractional coordinates, are Tc at (0.0000, 0.0000, 0.0000), Tc at (0.2485, 0.5000, 0.2462) and Rh at (0.0000, 0.5000, 0.5000).

As for the total magnetic moment: 0.0 Bohr magnetons per cell. The value obtained for the energy is -9.61 eV/atom. The energy above the most stable polymorph in this dataset is 157.7 meV/atom. Its formation energy is 3 meV/atom.

=====

Entry 10:
This record from the Alexandria database describes a relaxed TcRh3 crystal. The functional is PBE-GGA.

The space group is P6_3/mmc (No. 194) and the conventional cell measures 5.4914, 5.4914 and 4.3507 Å, with angles of 90.00, 90.00 and 120.00 degrees. The distinct sites, in fractional coordinates, are Tc at (0.3333, 0.6667, 0.2500) and Rh at (0.1680, 0.3361, 0.7500).

As for the total magnetic moment: 0.0 Bohr magnetons per cell. The value obtained for the energy is -8.18 eV/atom. Its formation energy is -76 meV/atom.

=====

Entry 11:
This record from the Alexandria database describes a relaxed Tc3Rh5 crystal. The functional is PBE-GGA.

The space group is C2/c (No. 15) and the conventional cell measures 10.2842, 9.4970 and 5.1614 Å, with angles of 90.00, 115.43 and 90.00 degrees. The distinct sites, in fractional coordinates, are Tc at (0.0000, 0.0424, 0.2500), Tc at (0.1258, 0.2912, 0.4998), Rh at (0.0000, 0.4608, 0.7500), Rh at (0.1252, 0.2078, 0.0051) and Rh at (0.2473, 0.0417, 0.7432).

As for the total magnetic moment: 0.0 Bohr magnetons per cell. The value obtained for the energy is -8.59 eV/atom. The energy above the most stable polymorph in this dataset is 0.0 meV/atom. Its formation energy is -111 meV/atom.

=====

Entry 12:
This record from the Alexandria database describes a relaxed Tc3Rh crystal. The functional is PBE-GGA.

The space group is P6_3/mmc (No. 194) and the conventional cell measures 5.5220, 5.5220 and 4.3650 Å, with angles of 90.00, 90.00 and 120.00 degrees. The distinct sites, in fractional coordinates, are Tc at (0.1607, 0.3215, 0.2500) and Rh at (0.3333, 0.6667, 0.7500).

As for the total magnetic moment: 0.0 Bohr magnetons per cell. The value obtained for the energy is -9.77 eV/atom. The energy above the most stable polymorph in this dataset is 0.0 meV/atom. Its formation energy is -155 meV/atom.

=====

Entry 13:
This record from the Alexandria database describes a relaxed TcRh3 crystal. The functional is PBE-GGA.

The space group is Pmmn (No. 59, origin choice 2) and the conventional cell measures 5.4365, 13.2603 and 4.7313 Å, with angles of 90.00, 90.00 and 90.00 degrees. The distinct sites, in fractional coordinates, are Tc at (0.2500, 0.0859, 0.1709), Tc at (0.2500, 0.7500, 0.4986), Rh at (0.9996, 0.0827, 0.6679), Rh at (0.0017, 0.7500, 0.0039), Rh at (0.2500, 0.2500, 0.4895) and Rh at (0.2500, 0.5862, 0.8312).

As for the total magnetic moment: 0.0 Bohr magnetons per cell. The value obtained for the energy is -8.17 eV/atom. Its formation energy is -60 meV/atom.

=====

Entry 14:
This record from the Alexandria database describes a relaxed TcRh3 crystal. The functional is PBE-GGA.

The space group is Pmmn (No. 59, origin choice 2) and the conventional cell measures 4.3518, 5.4740 and 4.7645 Å, with angles of 90.00, 90.00 and 90.00 degrees. The distinct sites, in fractional coordinates, are Tc at (0.2500, 0.2500, 0.1698), Rh at (0.2500, 0.0007, 0.6665) and Rh at (0.2500, 0.7500, 0.1590).

As for the total magnetic moment: 0.0 Bohr magnetons per cell. The value obtained for the energy is -8.20 eV/atom. Its formation energy is -99 meV/atom.

=====

Entry 15:
This record from the Alexandria database describes a relaxed TcRh7 crystal. The functional is PBE-GGA.

The space group is Fm-3m (No. 225) and the conventional cell measures 7.6857, 7.6857 and 7.6857 Å, with angles of 90.00, 90.00 and 90.00 degrees. The distinct sites, in fractional coordinates, are Tc at (0.0000, 0.0000, 0.0000), Rh at (0.0000, 0.0000, 0.5000) and Rh at (0.0000, 0.2500, 0.2500).

As for the total magnetic moment: 0.0 Bohr magnetons per cell. The value obtained for the energy is -7.74 eV/atom. Its formation energy is -15 meV/atom.

=====

Entry 16:
This record from the Alexandria database describes a relaxed Tc3Rh4 crystal. The functional is PBE-GGA.

The space group is I4/mmm (No. 139) and the conventional cell measures 3.2554, 3.2554 and 19.2756 Å, with angles of 90.00, 90.00 and 90.00 degrees. The distinct sites, in fractional coordinates, are Tc at (0.0000, 0.0000, 0.0000), Tc at (0.0000, 0.0000, 0.2874), Rh at (0.0000, 0.0000, 0.1430) and Rh at (0.0000, 0.0000, 0.4279).

As for the total magnetic moment: 0.0 Bohr magnetons per cell. The value obtained for the energy is -8.44 eV/atom. The energy above the most stable polymorph in this dataset is 69.6 meV/atom. Its formation energy is 202 meV/atom.

=====

Entry 17:
This record from the Alexandria database describes a relaxed TcRh3 crystal. The functional is PBE-GGA.

The space group is P-6m2 (No. 187) and the conventional cell measures 2.7399, 2.7399 and 8.7696 Å, with angles of 90.00, 90.00 and 120.00 degrees. The distinct sites, in fractional coordinates, are Tc at (0.0000, 0.0000, 0.0000), Rh at (0.0000, 0.0000, 0.5000) and Rh at (0.6667, 0.3333, 0.2425).

As for the total magnetic moment: 0.0 Bohr magnetons per cell. The value obtained for the energy is -8.19 eV/atom. Its formation energy is -87 meV/atom.

=====

Entry 18:
This record from the Alexandria database describes a relaxed Tc3Rh crystal. The functional is PBE-GGA.

The space group is Cmmm (No. 65) and the conventional cell measures 5.4688, 7.8032 and 2.7083 Å, with angles of 90.00, 90.00 and 90.00 degrees. The distinct sites, in fractional coordinates, are Tc at (0.0000, 0.0000, 0.0000), Tc at (0.2500, 0.2500, 0.5000) and Rh at (0.0000, 0.5000, 0.0000).

As for the total magnetic moment: 0.0 Bohr magnetons per cell. The value obtained for the energy is -9.62 eV/atom. The energy above the most stable polymorph in this dataset is 151.1 meV/atom. Its formation energy is -4 meV/atom.

=====

Entry 19:
This record from the Alexandria database describes a relaxed Tc3Rh crystal. The functional is PBE-GGA.

The space group is Pm-3n (No. 223) and the conventional cell measures 4.8944, 4.8944 and 4.8944 Å, with angles of 90.00, 90.00 and 90.00 degrees. The distinct sites, in fractional coordinates, are Tc at (0.0000, 0.2500, 0.5000) and Rh at (0.0000, 0.0000, 0.0000).

As for the total magnetic moment: 0.0 Bohr magnetons per cell. The value obtained for the energy is -9.52 eV/atom. The energy above the most stable polymorph in this dataset is 249.5 meV/atom. Its formation energy is 95 meV/atom.

=====

Entry 20:
This record from the Alexandria database describes a relaxed TcRh3 crystal. The functional is PBE-GGA.

The space group is Cmmm (No. 65) and the conventional cell measures 5.4369, 7.7263 and 2.7040 Å, with angles of 90.00, 90.00 and 90.00 degrees. The distinct sites, in fractional coordinates, are Tc at (0.0000, 0.0000, 0.0000), Rh at (0.0000, 0.5000, 0.0000) and Rh at (0.2500, 0.2500, 0.5000).

As for the total magnetic moment: 0.0 Bohr magnetons per cell. The value obtained for the energy is -8.15 eV/atom. Its formation energy is -41 meV/atom.